Crystalline YZrCSe at its relaxed geometry. Source: OQMD via LeMat-Bulk, functional GGA-PBE.

Cell: 3.6097 3.6097 13.0324 Å, 90.00 90.00 120.00°
Space group P-3m1 (No. 164)
Unique sites:
Y  0.3333  0.6667  0.3968 (multiplicity 2)
Zr  0.3333  0.6667  0.0915 (multiplicity 2)
C  0.0000  0.0000  0.0000 (multiplicity 1)
C  0.0000  0.0000  0.5000 (multiplicity 1)
Se  0.3333  0.6667  0.7643 (multiplicity 2)

- E above lowest polymorph: 0.011 eV/atom
- Calculated density: 6.12 g/cm³